Density functional theory data (PBE+U) for Ba6Na2Ta2V2O17 after structural relaxation.

Computed properties:
For the energy, the calculation gives -7.39 eV per atom. The volume comes out at 950.8 Å³/cell. The total moment comes out at 0.0 μB per cell.

The structure in CIF format:
```
data_Ba6Na2Ta2V2O17
_chemical_formula_sum 'Ba12 Na4 Ta4 V4 O34'
_cell_length_a 6.000
_cell_length_b 6.000
_cell_length_c 30.497
_cell_angle_alpha 90.00
_cell_angle_beta 90.00
_cell_angle_gamma 120.00
_symmetry_space_group_name_H-M 'P 1'
_symmetry_Int_Tables_number 1
loop_
_symmetry_equiv_pos_as_xyz
'x,y,z'
loop_
_atom_site_label
_atom_site_type_symbol
_atom_site_fract_x
_atom_site_fract_y
_atom_site_fract_z
O1 O 0.351 0.176 0.572
Na1 Na 0.000 0.000 0.624
Na2 Na 0.000 0.000 0.376
Ba1 Ba 0.000 0.000 0.750
O2 O 0.649 0.824 0.428
O3 O 0.175 0.825 0.670
O4 O 0.825 0.649 0.170
Ba2 Ba 0.333 0.667 0.590
Ta1 Ta 0.667 0.333 0.202
Na3 Na 0.000 0.000 0.124
O5 O 0.351 0.176 0.928
O6 O 0.968 0.484 0.250
O7 O 0.032 0.516 0.750
Ba3 Ba 0.667 0.333 0.818
O8 O 0.824 0.649 0.928
Ta2 Ta 0.667 0.333 0.298
Ba4 Ba 0.000 0.000 0.250
O9 O 0.333 0.667 0.995
V1 V 0.333 0.667 0.052
O10 O 0.825 0.649 0.330
O11 O 0.825 0.175 0.170
Na4 Na 0.000 0.000 0.876
Ta3 Ta 0.333 0.667 0.702
Ba5 Ba 0.667 0.333 0.090
V2 V 0.667 0.333 0.552
O12 O 0.176 0.824 0.072
Ba6 Ba 0.333 0.667 0.318
Ba7 Ba 0.333 0.667 0.182
O13 O 0.333 0.667 0.505
O14 O 0.667 0.333 0.005
Ta4 Ta 0.333 0.667 0.798
O15 O 0.824 0.649 0.572
V3 V 0.667 0.333 0.948
O16 O 0.824 0.176 0.928
Ba8 Ba 0.333 0.667 0.910
O17 O 0.176 0.824 0.428
O18 O 0.176 0.351 0.428
Ba9 Ba 0.000 0.000 0.500
Ba10 Ba 0.667 0.333 0.410
O19 O 0.484 0.968 0.750
O20 O 0.484 0.516 0.750
O21 O 0.667 0.333 0.495
Ba11 Ba 0.667 0.333 0.682
O22 O 0.649 0.825 0.830
O23 O 0.649 0.824 0.072
O24 O 0.176 0.351 0.072
Ba12 Ba 0.000 0.000 0.000
O25 O 0.351 0.175 0.170
V4 V 0.333 0.667 0.448
O26 O 0.175 0.825 0.830
O27 O 0.825 0.175 0.330
O28 O 0.351 0.175 0.330
O29 O 0.824 0.176 0.572
O30 O 0.175 0.351 0.670
O31 O 0.175 0.351 0.830
O32 O 0.516 0.032 0.250
O33 O 0.649 0.825 0.670
O34 O 0.516 0.484 0.250
```

Density functional theory data (PBE+U) for BaNaTbWO6 after structural relaxation.

Computed properties:
For the energy, the calculation gives -7.12 eV per atom. The volume comes out at 149.7 Å³/cell. The total moment comes out at 0.0 μB per cell.

The structure in CIF format:
```
data_BaNaTbWO6
_chemical_formula_sum 'Ba1 Na1 Tb1 W1 O6'
_cell_length_a 5.959
_cell_length_b 5.959
_cell_length_c 5.959
_cell_angle_alpha 60.00
_cell_angle_beta 60.00
_cell_angle_gamma 60.00
_symmetry_space_group_name_H-M 'P 1'
_symmetry_Int_Tables_number 1
loop_
_symmetry_equiv_pos_as_xyz
'x,y,z'
loop_
_atom_site_label
_atom_site_type_symbol
_atom_site_fract_x
_atom_site_fract_y
_atom_site_fract_z
O1 O 0.732 0.268 0.732
W1 W 0.500 0.500 0.500
Ba1 Ba 0.250 0.250 0.250
Na1 Na 0.750 0.750 0.750
O2 O 0.732 0.732 0.268
O3 O 0.732 0.268 0.268
Tb1 Tb 0.000 0.000 0.000
O4 O 0.268 0.732 0.268
O5 O 0.268 0.732 0.732
O6 O 0.268 0.268 0.732
```